(1)
# HfNbCoSi PBE-GGA relaxed
data_HfNbCoSi
_chemical_formula_sum 'Hf4 Nb4 Co4 Si4'
_symmetry_space_group_name_H-M 'F -4 3 m'
_symmetry_Int_Tables_number 216
_symmetry_space_group_name_Hall 'F -4 2 3'
_cell_length_a 6.259
_cell_length_b 6.259
_cell_length_c 6.259
_cell_angle_alpha 90.00
_cell_angle_beta 90.00
_cell_angle_gamma 90.00
loop_
_atom_site_label
_atom_site_type_symbol
_atom_site_fract_x
_atom_site_fract_y
_atom_site_fract_z
Hf1 Hf 0.000 0.000 0.000
Nb1 Nb 0.250 0.250 0.250
Co1 Co 0.250 0.250 0.750
Si1 Si 0.000 0.000 0.500
# E_tot = -8.185 eV per atom
# calculated density = 9.71 g/cm³



(2)
# HfNbTlCo PBE-GGA relaxed
data_HfNbTlCo
_chemical_formula_sum 'Hf4 Nb4 Tl4 Co4'
_symmetry_space_group_name_H-M 'F -4 3 m'
_symmetry_Int_Tables_number 216
_symmetry_space_group_name_Hall 'F -4 2 3'
_cell_length_a 6.613
_cell_length_b 6.613
_cell_length_c 6.613
_cell_angle_alpha 90.00
_cell_angle_beta 90.00
_cell_angle_gamma 90.00
loop_
_atom_site_label
_atom_site_type_symbol
_atom_site_fract_x
_atom_site_fract_y
_atom_site_fract_z
Hf1 Hf 0.000 0.000 0.000
Nb1 Nb 0.250 0.250 0.250
Tl1 Tl 0.000 0.000 0.500
Co1 Co 0.250 0.250 0.750
# E_tot = -7.017 eV per atom
# calculated density = 12.28 g/cm³



(3)
# HfNbZnCo PBE-GGA relaxed
data_HfNbZnCo
_chemical_formula_sum 'Hf4 Nb4 Zn4 Co4'
_symmetry_space_group_name_H-M 'F -4 3 m'
_symmetry_Int_Tables_number 216
_symmetry_space_group_name_Hall 'F -4 2 3'
_cell_length_a 6.336
_cell_length_b 6.336
_cell_length_c 6.336
_cell_angle_alpha 90.00
_cell_angle_beta 90.00
_cell_angle_gamma 90.00
loop_
_atom_site_label
_atom_site_type_symbol
_atom_site_fract_x
_atom_site_fract_y
_atom_site_fract_z
Hf1 Hf 0.000 0.000 0.000
Nb1 Nb 0.250 0.250 0.250
Zn1 Zn 0.000 0.000 0.500
Co1 Co 0.250 0.250 0.750
# E_form = 0.1669 eV per atom
# calculated density = 10.34 g/cm³



(4)
# Nd3Hf3CoTe2 PBE-GGA relaxed
data_Nd3Hf3CoTe2
_chemical_formula_sum 'Nd3 Hf3 Co1 Te2'
_symmetry_space_group_name_H-M 'P -6 2 m'
_symmetry_Int_Tables_number 189
_symmetry_space_group_name_Hall 'P -6 -2'
_cell_length_a 8.1248
_cell_length_b 8.1248
_cell_length_c 3.9854
_cell_angle_alpha 90.00
_cell_angle_beta 90.00
_cell_angle_gamma 120.00
loop_
_atom_site_label
_atom_site_type_symbol
_atom_site_fract_x
_atom_site_fract_y
_atom_site_fract_z
Nd1 Nd 0.0000 0.5997 0.0000
Hf1 Hf 0.0000 0.2153 0.5000
Co1 Co 0.0000 0.0000 0.0000
Te1 Te 0.3333 0.6667 0.5000
# E_tot = -6.986 eV per atom
# calculated density = 9.35 g/cm³



(5)
# Nd3Hf3CoTe2 PBE-GGA relaxed
data_Nd3Hf3CoTe2
_chemical_formula_sum 'Nd3 Hf3 Co1 Te2'
_symmetry_space_group_name_H-M 'P -6 2 m'
_symmetry_Int_Tables_number 189
_symmetry_space_group_name_Hall 'P -6 -2'
_cell_length_a 8.3183
_cell_length_b 8.3183
_cell_length_c 3.6434
_cell_angle_alpha 90.00
_cell_angle_beta 90.00
_cell_angle_gamma 120.00
loop_
_atom_site_label
_atom_site_type_symbol
_atom_site_fract_x
_atom_site_fract_y
_atom_site_fract_z
Nd1 Nd 0.0000 0.2460 0.0000
Hf1 Hf 0.0000 0.5900 0.5000
Co1 Co 0.0000 0.0000 0.5000
Te1 Te 0.3333 0.6667 0.0000
# E_tot = -6.624 eV per atom
# calculated density = 9.75 g/cm³



(6)
# Hf4CoNi PBE-GGA relaxed
data_Hf4CoNi
_chemical_formula_sum 'Hf8 Co2 Ni2'
_symmetry_space_group_name_H-M 'I 4 2 2'
_symmetry_Int_Tables_number 97
_symmetry_space_group_name_Hall 'I 4 2'
_cell_length_a 6.331
_cell_length_b 6.331
_cell_length_c 5.329
_cell_angle_alpha 90.00
_cell_angle_beta 90.00
_cell_angle_gamma 90.00
loop_
_atom_site_label
_atom_site_type_symbol
_atom_site_fract_x
_atom_site_fract_y
_atom_site_fract_z
Hf1 Hf 0.168 0.332 0.250
Co1 Co 0.000 0.000 0.000
Ni1 Ni 0.000 0.000 0.500
# E_form = -0.3134 eV per atom
# calculated density = 12.93 g/cm³